No. 1
5
Lattice="5.451 0.000 0.000 0.000 5.451 0.000 0.000 0.000 3.706" Properties=species:S:1:pos:R:3 comment="NbReI2O meta-GGA SCAN single point on PBEsol structure" spacegroup=P4/mmm e_form_raw_ev_per_fu=2.035 total_energy_ev_per_atom=-36.38 volume_a3_per_cell=110 pbc="T T T"
Nb 0.000 0.000 0.000
Re 2.726 2.726 1.853
I 0.000 2.726 1.853
I 2.726 0.000 1.853
O 2.726 2.726 0.000

No. 2
4
Lattice="2.866 -4.576 0.000 2.866 4.576 0.000 0.000 0.000 4.379" Properties=species:S:1:pos:R:3 comment="K2MnBe meta-GGA SCAN single point on PBEsol structure" spacegroup=Cmmm total_energy_ev_per_atom=-8.85 e_form_ev_per_atom=0.963 volume_a3_per_cell=115 pbc="T T T"
K 1.433 2.288 0.000
K 1.433 -2.288 0.000
Mn 0.000 0.000 2.190
Be 2.866 0.000 2.190

No. 3
4
Lattice="0.000 3.155 3.155 3.155 0.000 3.155 3.155 3.155 0.000" Properties=species:S:1:pos:R:3 comment="Tc2PbS meta-GGA SCAN single point on PBEsol structure" spacegroup=Fm-3m e_form_raw_ev_per_fu=3.070 total_energy_ev_per_atom=-38.11 volume_a3_per_cell=63 pbc="T T T"
Tc 1.578 1.578 1.578
Tc 4.733 4.733 4.733
Pb 0.000 0.000 0.000
S 3.155 3.155 3.155

No. 4
24
Lattice="5.873 0.000 0.000 0.000 11.359 0.000 0.000 0.000 3.356" Properties=species:S:1:pos:R:3 comment="YMnB4 meta-GGA SCAN single point on PBEsol structure" spacegroup=Pbam total_energy_ev_per_atom=-13.34 e_form_ev_per_atom=-0.704 volume_a3_per_cell=224 pbc="T T T"
Y 0.740 1.709 0.000
Y 2.197 7.388 0.000
Y 3.676 3.971 0.000
Y 5.134 9.650 0.000
Mn 0.744 4.732 0.000
Mn 2.193 10.412 0.000
Mn 3.681 0.947 0.000
Mn 5.129 6.627 0.000
B 0.146 7.848 1.678
B 0.659 6.205 1.678
B 0.812 10.990 1.678
B 1.289 9.273 1.678
B 1.648 3.594 1.678
B 2.125 5.311 1.678
B 2.278 0.525 1.678
B 2.791 2.169 1.678
B 3.082 9.190 1.678
B 3.596 10.834 1.678
B 3.749 6.048 1.678
B 4.225 7.765 1.678
B 4.585 2.086 1.678
B 5.061 0.369 1.678
B 5.215 5.154 1.678
B 5.728 3.511 1.678

Record-wise magnetic moment values, in μB per formula unit: 3.0 4.2 0.0 1.0